{
  "formula": "AgHg3",
  "functional": "PBE",
  "state": "relaxed",
  "lattice": [[5.6843, 0.0149, 0.0431], [-2.4871, 5.1114, 0.0431], [-2.4871, -3.9878, 3.1977]],
  "species": ["Ag", "Hg", "Hg", "Hg"],
  "frac_coords": [[0.0000, 0.0000, 0.0000], [0.5000, 0.0000, 0.5000], [0.5000, 0.5000, 0.0000], [0.0000, 0.5000, 0.5000]],
  "final_energy_ev_per_atom": -0.801,
  "formation_energy_ev_per_atom": 0.14,
  "crystal_system": "trigonal",
  "vol_a3_per_cell": 95,
  "sg": "No. 166"
}